(1)
First-principles (PBE) data for crystalline AcLa4NdCd2 at its relaxed geometry, as listed in Alexandria.

Properties
- Density: 6.8 g/cm3
- Volume: 35.0 Å³ per atom

Cell lengths 5.649, 6.493, 9.980 Å; angles 58.27, 73.56, 64.21 degrees
Sites, in units of the cell vectors:
La: 0.350 0.314 0.987
Nd: 0.000 0.000 0.000
Ac: 0.500 0.500 0.500
La: 0.183 0.978 0.657
La: 0.817 0.022 0.343
Cd: 0.141 0.423 0.295
La: 0.650 0.686 0.013
Cd: 0.859 0.577 0.705

***

(2)
First-principles (PBE) data for crystalline AcLaNdCd at its relaxed geometry, as listed in Alexandria.

Properties
- Density: 7.5 g/cm3
- Energy relative to the lowest polymorph listed for this composition: 0.0000 eV/atom
- Volume: 34.5 Å³ per atom

Cell lengths 3.883, 3.883, 9.154 Å; angles 90.00, 90.00, 90.00 degrees
Sites, in units of the cell vectors:
Nd: 0.500 0.500 0.358
La: 0.500 0.500 0.787
Cd: 0.000 0.000 0.564
Ac: 0.000 0.000 0.075

***

(3)
First-principles (PBE) data for crystalline AcLaNdCd at its relaxed geometry, as listed in Alexandria.

Properties
- Density: 7.6 g/cm3
- Energy relative to the lowest polymorph listed for this composition: 0.1604 eV/atom
- Volume: 34.1 Å³ per atom

Cell lengths 5.778, 5.778, 5.778 Å; angles 60.00, 60.00, 60.00 degrees
Sites, in units of the cell vectors:
La: 0.000 0.000 0.000
Ac: 0.250 0.250 0.250
Cd: 0.750 0.750 0.750
Nd: 0.500 0.500 0.500

***

(4)
First-principles (PBE) data for crystalline AcLaCdNi at its relaxed geometry, as listed in Alexandria.

Properties
- Density: 7.9 g/cm3
- Volume: 28.2 Å³ per atom

Cell lengths 5.423, 5.423, 5.423 Å; angles 60.00, 60.00, 60.00 degrees
Sites, in units of the cell vectors:
Ac: 0.750 0.750 0.750
Ni: 0.000 0.000 0.000
Cd: 0.500 0.500 0.500
La: 0.250 0.250 0.250

***

(5)
First-principles (PBE) data for crystalline Ac2LaCd2Pb2 at its relaxed geometry, as listed in Alexandria.

Properties
- Density: 8.8 g/cm3
- Volume: 33.2 Å³ per atom

Cell lengths 5.273, 5.273, 10.125 Å; angles 74.91, 74.91, 60.00 degrees
Sites, in units of the cell vectors:
Ac: 0.872 0.872 0.385
Pb: 0.727 0.727 0.819
La: 0.000 0.000 0.000
Cd: 0.590 0.590 0.230
Cd: 0.410 0.410 0.770
Pb: 0.273 0.273 0.181
Ac: 0.128 0.128 0.615

***

(6)
First-principles (PBE) data for crystalline AcLaCdPb at its relaxed geometry, as listed in Alexandria.

Properties
- Density: 8.6 g/cm3
- Volume: 33.1 Å³ per atom

Cell lengths 5.724, 5.724, 5.724 Å; angles 60.00, 60.00, 60.00 degrees
Sites, in units of the cell vectors:
Ac: 0.250 0.250 0.250
Pb: 0.500 0.500 0.500
La: 0.750 0.750 0.750
Cd: 0.000 0.000 0.000

***

(7)
First-principles (PBE) data for crystalline AcLaCdPd at its relaxed geometry, as listed in Alexandria.

Properties
- Density: 8.3 g/cm3
- Volume: 29.1 Å³ per atom

Cell lengths 5.481, 5.481, 5.481 Å; angles 60.00, 60.00, 60.00 degrees
Sites, in units of the cell vectors:
Pd: 0.250 0.250 0.250
La: 0.000 0.000 0.000
Cd: 0.750 0.750 0.750
Ac: 0.500 0.500 0.500

***

(8)
First-principles (PBE) data for crystalline AcLaPmCd at its relaxed geometry, as listed in Alexandria.

Properties
- Density: 7.6 g/cm3
- Energy relative to the lowest polymorph listed for this composition: 0.0000 eV/atom
- Volume: 34.2 Å³ per atom

Cell lengths 3.872, 3.872, 9.134 Å; angles 90.00, 90.00, 90.00 degrees
Sites, in units of the cell vectors:
Ac: 0.000 0.000 0.077
Pm: 0.500 0.500 0.359
Cd: 0.000 0.000 0.562
La: 0.500 0.500 0.787

***

(9)
First-principles (PBE) data for crystalline AcLaPmCd at its relaxed geometry, as listed in Alexandria.

Properties
- Density: 7.6 g/cm3
- Energy relative to the lowest polymorph listed for this composition: 0.1644 eV/atom
- Volume: 33.9 Å³ per atom

Cell lengths 5.766, 5.766, 5.766 Å; angles 60.00, 60.00, 60.00 degrees
Sites, in units of the cell vectors:
Pm: 0.500 0.500 0.500
La: 0.000 0.000 0.000
Ac: 0.750 0.750 0.750
Cd: 0.250 0.250 0.250

***

(10)
First-principles (PBE) data for crystalline AcLa2PmCd at its relaxed geometry, as listed in Alexandria.

Properties
- Density: 6.8 g/cm3
- Volume: 37.2 Å³ per atom

Cell lengths 7.088, 6.997, 8.275 Å; angles 115.01, 90.00, 90.00 degrees
Sites, in units of the cell vectors:
La: 0.500 0.746 0.000
Pm: 0.750 0.156 0.312
La: 0.000 0.746 0.000
Ac: 0.250 0.251 0.502
La: 0.000 0.254 0.000
Ac: 0.750 0.749 0.498
La: 0.500 0.254 0.000
Cd: 0.250 0.646 0.292
Cd: 0.750 0.354 0.708
Pm: 0.250 0.844 0.688

***

(11)
First-principles (PBE) data for crystalline AcLa2PrCd at its relaxed geometry, as listed in Alexandria.

Properties
- Density: 6.7 g/cm3
- Volume: 37.5 Å³ per atom

Cell lengths 7.126, 7.012, 8.286 Å; angles 115.03, 90.00, 90.00 degrees
Sites, in units of the cell vectors:
Cd: 0.250 0.645 0.291
La: 0.500 0.745 0.000
Pr: 0.750 0.155 0.310
Cd: 0.750 0.355 0.709
La: 0.000 0.255 0.000
La: 0.000 0.745 0.000
La: 0.500 0.255 0.000
Pr: 0.250 0.845 0.690
Ac: 0.750 0.749 0.498
Ac: 0.250 0.251 0.502

***

(12)
First-principles (PBE) data for crystalline AcLaPr2Cd at its relaxed geometry, as listed in Alexandria.

Properties
- Density: 6.8 g/cm3
- Volume: 37.1 Å³ per atom

Cell lengths 7.139, 6.983, 8.213 Å; angles 115.16, 90.00, 90.00 degrees
Sites, in units of the cell vectors:
Cd: 0.750 0.358 0.715
Pr: 0.500 0.744 0.000
Ac: 0.750 0.749 0.499
Pr: 0.000 0.744 0.000
La: 0.750 0.154 0.309
Cd: 0.250 0.642 0.285
Pr: 0.500 0.256 0.000
Pr: 0.000 0.256 0.000
Ac: 0.250 0.251 0.501
La: 0.250 0.846 0.691

***

Going through the records in order, we get DFT formation energy values of -0.048, -0.157, 0.004, -0.147, -0.228, -0.427, -0.456, -0.154, 0.010, 0.074, 0.072, 0.087 eV per atom.